A.
VASP calculation (PBE-GGA) on an optimized crystal structure of PmSi2Ni3.

Geometry as extended XYZ:
```
18
Lattice="3.8261 0.0000 0.0000 -1.9131 7.3511 -2.3736 0.0000 0.0573 9.3848" Properties=species:S:1:pos:R:3 pbc="T T T"
Pm 1.9131 5.0966 1.1807
Pm 0.0000 2.3117 5.8305
Pm 0.0000 0.0000 0.0000
Ni 0.0000 3.2048 2.6645
Ni 1.9131 4.2035 4.3467
Ni 0.0000 4.7477 -1.2501
Ni 1.9131 6.6586 4.0215
Ni 1.9131 2.6606 8.2613
Ni 0.0000 5.4991 5.6990
Ni 1.9131 1.9092 1.3122
Ni 0.0000 0.7497 2.9897
Ni 1.9131 0.0286 4.6924
Si 0.0000 2.9543 0.2701
Si 0.0000 6.9786 -0.0732
Si 1.9131 4.4541 6.7411
Si 0.0000 5.3327 3.4534
Si 1.9131 0.4297 7.0844
Si 1.9131 2.0756 3.5578
```

Output
Space-group type: C2/m, No. 12

***

B.
VASP calculation (PBE-GGA) on an optimized crystal structure of PmSi2Ni3.

Geometry as extended XYZ:
```
12
Lattice="-1.6446 2.3663 -2.5193 -2.2547 -6.9145 -2.1151 -3.8870 2.7962 5.1638" Properties=species:S:1:pos:R:3 pbc="T T T"
Si -1.6649 1.4659 -0.4440
Si -4.1058 -1.4852 -1.6226
Si -6.1214 -3.2179 0.9735
Si -3.6805 -0.2667 2.1520
Pm -6.5636 -0.1759 1.2116
Pm -1.2227 -1.5760 -0.6821
Ni -4.1274 -2.0678 0.7520
Ni -3.6589 0.3159 -0.2225
Ni -3.9533 2.0019 1.5533
Ni -3.8329 -3.7538 -1.0238
Ni -6.1359 -2.3563 -1.1155
Ni -1.6504 0.6043 1.6450
```

Output
Space-group type: C2/m, No. 12

***

The structure with the greatest stability is A.

***

A.
VASP calculation (PBE-GGA) on an optimized crystal structure of TbPmSiNi.

Geometry as extended XYZ:
```
4
Lattice="4.9746 0.0000 0.0000 2.4873 4.3082 0.0000 2.4873 1.4361 4.0618" Properties=species:S:1:pos:R:3 pbc="T T T"
Tb 0.0000 0.0000 0.0000
Ni 2.4873 1.4361 1.0154
Si 7.4620 4.3082 3.0463
Pm 4.9746 2.8721 2.0309
```

Output
Space-group type: F-43m, No. 216

***

B.
VASP calculation (PBE-GGA) on an optimized crystal structure of TbPmSiNi.

Geometry as extended XYZ:
```
4
Lattice="4.0954 0.0000 0.0000 0.0000 4.0762 0.0000 -2.0477 0.0000 5.3345" Properties=species:S:1:pos:R:3 pbc="T T T"
Si 2.0477 2.0381 0.6701
Tb 2.0477 2.0381 3.8604
Ni 0.0000 0.0000 4.6158
Pm 0.0000 0.0000 1.5226
```

Output
Space-group type: Amm2, No. 38

***

The structure with the greatest stability is B.

***

A.
VASP calculation (PBE-GGA) on an optimized crystal structure of Pm3SmNi.

Geometry as extended XYZ:
```
20
Lattice="6.3430 0.0000 0.0000 0.0000 9.3631 0.1808 0.0000 -1.6845 10.0002" Properties=species:S:1:pos:R:3 pbc="T T T"
Pm 0.6684 5.4006 5.6206
Pm 0.6635 2.0376 1.0216
Pm 2.5031 6.2429 0.6205
Pm 0.8407 8.4718 3.5824
Pm 5.6746 2.2780 4.5604
Pm 5.6795 5.6411 9.1594
Pm 2.3308 7.6296 8.5825
Pm 5.5023 -0.7931 6.5986
Pm 3.8350 6.4833 4.1593
Pm 4.0122 0.0491 1.5985
Pm 3.8398 1.4358 9.5605
Pm 2.5080 1.1954 6.0217
Ni 5.4139 -0.9689 9.2733
Ni 4.1005 -0.1266 4.2732
Ni 0.9291 8.6476 0.9077
Ni 2.2424 7.8053 5.9078
Sm 2.7679 3.3517 3.2550
Sm 3.5751 4.3270 6.9260
Sm 5.9394 5.1692 1.9259
Sm 0.4036 2.5094 8.2551
```

Output
Space-group type: P2_1/c, No. 14

***

B.
VASP calculation (PBE-GGA) on an optimized crystal structure of Pm3SmNi.

Geometry as extended XYZ:
```
10
Lattice="-2.9331 -2.1063 0.9590 -2.7351 -1.9780 -5.4319 5.9665 -11.4671 0.3410" Properties=species:S:1:pos:R:3 pbc="T T T"
Pm 0.1239 -8.0481 -2.7414
Pm 0.3473 -11.7022 -2.8056
Pm -0.0926 -6.2337 0.5814
Pm 3.0334 -7.7939 -0.5624
Pm 2.2308 -12.7430 0.6691
Pm -3.0373 -4.5703 -4.7715
Ni -2.4081 -3.7608 -1.0692
Ni 2.4487 -10.5328 -1.0882
Sm 3.7823 -13.0224 -2.4772
Sm -0.0702 -4.3768 -2.5496
```

Output
Space-group type: Cm, No. 8

***

The structure with the greatest stability is B.

***

A.
VASP calculation (PBE-GGA) on an optimized crystal structure of PmSm2Ni.

Geometry as extended XYZ:
```
4
Lattice="3.8572 0.0000 0.0000 1.9286 3.3404 0.0000 1.9286 1.1135 9.1702" Properties=species:S:1:pos:R:3 pbc="T T T"
Sm 1.9286 1.1135 7.5434
Sm 1.9286 1.1135 1.6366
Ni 3.8572 2.2270 0.0199
Pm 3.8572 2.2270 4.5553
```

Output
Space-group type: R3m, No. 160

***

B.
VASP calculation (PBE-GGA) on an optimized crystal structure of PmSm2Ni.

Geometry as extended XYZ:
```
16
Lattice="-5.7940 -2.8438 -0.1399 0.8219 -1.3394 -6.8124 4.1917 -8.6489 2.2063" Properties=species:S:1:pos:R:3 pbc="T T T"
Sm 0.6798 -11.0948 -3.6430
Sm -0.8581 -7.9215 -4.4525
Sm -1.4603 -1.7373 -1.1030
Sm 1.3607 -5.1524 -3.6786
Sm 0.0777 -4.9106 -0.2935
Sm -2.1411 -7.6797 -1.0674
Sm -0.1773 -1.9790 -4.4881
Sm -0.6032 -10.8531 -0.2579
Pm 1.4574 -8.1264 -1.5694
Pm 3.1099 -8.1867 -4.9456
Pm -3.8904 -4.6453 0.1996
Pm -2.2379 -4.7057 -3.1766
Ni -1.7641 -9.9626 -2.6472
Ni 0.9837 -2.8695 -2.0988
Ni -0.7366 -4.5852 -5.5565
Ni -0.0439 -8.2469 0.8105
```

Output
Space-group type: Pnma, No. 62

***

The structure with the greatest stability is B.

***

A.
VASP calculation (PBE-GGA) on an optimized crystal structure of PmSmNi.

Geometry as extended XYZ:
```
3
Lattice="3.9176 0.0000 0.0000 -1.9588 3.3928 0.0000 0.0000 0.0000 6.4216" Properties=species:S:1:pos:R:3 pbc="T T T"
Sm 0.0000 0.0000 0.5512
Pm 0.0000 2.2619 3.7369
Ni 1.9588 1.1309 2.1335
```

Output
Space-group type: P3m1, No. 156

***

B.
VASP calculation (PBE-GGA) on an optimized crystal structure of PmSmNi.

Geometry as extended XYZ:
```
3
Lattice="3.4901 0.0000 0.0000 0.0000 3.4901 0.0000 -1.7451 -1.7451 6.3812" Properties=species:S:1:pos:R:3 pbc="T T T"
Sm 0.0000 0.0000 0.4815
Pm 0.0000 0.0000 3.7905
Ni 1.7451 1.7451 2.1093
```

Output
Space-group type: I4mm, No. 107

***

The structure with the greatest stability is B.

***

A.
VASP calculation (PBE-GGA) on an optimized crystal structure of Pm12SmNi6.

Geometry as extended XYZ:
```
19
Lattice="8.2424 0.0000 -2.9141 -4.1212 7.1381 -2.9141 0.0000 0.0000 8.7424" Properties=species:S:1:pos:R:3 pbc="T T T"
Ni 3.0633 3.5691 -2.2051
Ni -1.5592 4.4374 2.2051
Ni 1.0579 3.5691 5.1192
Ni 3.6198 0.8684 3.6231
Ni 0.5014 6.2697 -0.7090
Ni 5.6804 2.7007 0.7090
Pm 0.5240 3.5459 -0.7410
Pm 3.5972 3.5922 3.6552
Pm 0.7883 5.8189 2.1731
Pm 2.0472 0.9076 5.8471
Pm 6.4328 1.3192 2.9330
Pm -1.3123 4.9113 5.0872
Pm 3.8836 4.9113 0.0189
Pm 2.0739 6.2305 -2.9330
Pm 5.4335 2.2268 -2.1731
Pm 0.2376 2.2268 2.8952
Pm -2.3116 5.8189 -0.0189
Pm 3.3329 1.3192 0.7410
Sm 0.0000 0.0000 0.0000
```

Output
Space-group type: Im-3, No. 204

***

B.
VASP calculation (PBE-GGA) on an optimized crystal structure of Pm12SmNi6.

Geometry as extended XYZ:
```
19
Lattice="-0.3509 4.9292 6.8685 6.0161 -5.7381 1.5739 3.0311 4.8891 -6.2053" Properties=species:S:1:pos:R:3 pbc="T T T"
Pm 3.0146 0.5143 2.5889
Pm 5.6817 3.5658 -0.3518
Pm 3.8926 0.5039 -0.8052
Pm 4.8037 3.5762 3.0423
Pm 5.6310 2.0249 -3.8404
Pm 2.2397 3.2733 0.5693
Pm 3.0653 2.0553 6.0775
Pm 5.4803 -1.9909 4.0692
Pm 1.9331 6.0863 3.1268
Pm 6.4566 0.8068 1.6678
Pm 3.2159 6.0710 -1.8321
Pm 6.7632 -2.0061 -0.8897
Ni 5.1131 0.8568 4.4224
Ni 6.6175 0.8390 -1.3930
Ni 2.0788 3.2412 3.6301
Ni 3.7854 5.5840 0.9621
Ni 3.5832 3.2233 -2.1853
Ni 4.9109 -1.5039 1.2750
Sm 0.0000 0.0000 0.0000
```

Output
Space-group type: R-3m, No. 166

***

The structure with the greatest stability is A.

***

A.
VASP calculation (PBE-GGA) on an optimized crystal structure of Pm2Ni2Sn3.

Geometry as extended XYZ:
```
7
Lattice="4.2290 0.0000 0.0000 -2.1145 5.3671 -0.2272 0.0000 -2.7549 6.8937" Properties=species:S:1:pos:R:3 pbc="T T T"
Pm 2.1145 3.2085 1.2553
Pm 0.0000 -0.5964 5.4112
Sn 2.1145 0.0000 0.0000
Sn 0.0000 2.5056 3.6267
Sn 2.1145 0.1065 3.0398
Ni 0.0000 0.9223 1.5297
Ni 2.1145 1.6898 5.1368
```

Output
Space-group type: C2/m, No. 12

***

B.
VASP calculation (PBE-GGA) on an optimized crystal structure of Pm2Ni2Sn3.

Geometry as extended XYZ:
```
14
Lattice="4.3730 0.0000 -1.0426 0.0000 7.1776 0.0000 0.0717 0.0000 9.9934" Properties=species:S:1:pos:R:3 pbc="T T T"
Ni 1.3338 0.3859 5.5947
Ni 3.1109 3.9747 3.3561
Ni 1.3338 3.2029 5.5947
Ni 3.1109 6.7916 3.3561
Pm 4.2612 1.7944 8.1810
Pm 0.7440 1.7944 3.1205
Pm 3.7008 5.3832 5.8303
Pm 0.1835 5.3832 0.7698
Sn 1.9245 3.9265 8.0722
Sn 3.4701 1.7944 4.8626
Sn 2.5202 3.2510 0.8786
Sn 1.9245 6.8398 8.0722
Sn 0.9747 5.3832 4.0882
Sn 2.5202 0.3378 0.8786
```

Output
Space-group type: Cmcm, No. 63

***

The structure with the greatest stability is B.

***

A.
VASP calculation (PBE-GGA) on an optimized crystal structure of Pm2NiSn6.

Geometry as extended XYZ:
```
9
Lattice="-1.0299 -0.7753 4.0327 7.3492 0.0572 1.8879 -4.0776 7.4888 0.3973" Properties=species:S:1:pos:R:3 pbc="T T T"
Sn 5.8344 2.3045 1.9334
Sn -3.5928 4.4662 4.3846
Sn 5.1997 -0.3432 3.4844
Sn 0.9692 4.5017 5.5565
Sn 1.1195 -0.3749 2.4362
Sn 1.2724 2.2690 0.7614
Pm 3.0074 2.4773 3.4668
Pm -0.7659 4.2934 2.8512
Ni 0.0000 0.0000 0.0000
```

Output
Space-group type: Cmmm, No. 65

***

B.
VASP calculation (PBE-GGA) on an optimized crystal structure of Pm2NiSn6.

Geometry as extended XYZ:
```
9
Lattice="-3.9943 -1.3297 1.4605 -1.1719 -1.0573 -4.1676 6.1841 -10.1826 0.8445" Properties=species:S:1:pos:R:3 pbc="T T T"
Sn 3.2675 -10.5120 -0.6346
Sn 0.2159 -2.6060 -1.7823
Sn 1.2556 -5.2997 -1.3912
Sn -1.1934 -2.7472 1.0325
Sn -0.1573 -5.4315 1.4222
Sn 0.5936 -9.4236 -0.1588
Pm 2.7797 -7.2015 1.0454
Pm 2.1243 -11.3425 2.2803
Ni -0.2886 -7.1381 -0.4906
```

Output
Space-group type: Amm2, No. 38

***

The structure with the greatest stability is B.

***

A.
VASP calculation (PBE-GGA) on an optimized crystal structure of PmNi2Sn3.

Geometry as extended XYZ:
```
18
Lattice="-2.5432 -0.3290 3.5239 7.5316 -3.8194 2.3840 1.1090 10.3991 1.7713" Properties=species:S:1:pos:R:3 pbc="T T T"
Pm 3.3925 0.1923 5.1613
Pm 0.0000 0.0000 0.0000
Pm 2.7050 6.0584 2.5178
Sn 0.9369 3.1838 0.9734
Sn 3.2465 2.1365 2.5425
Sn -0.7171 5.0351 2.6476
Sn 4.3093 -1.9821 2.9250
Sn 5.5531 5.5522 4.5261
Sn 1.7882 8.2328 4.7542
Sn 0.5444 0.6985 3.1531
Sn 5.1606 3.0669 6.7058
Sn 2.8509 4.1142 5.1366
Ni -0.2441 7.7503 3.2424
Ni 0.9513 3.2700 3.6869
Ni 2.5573 -0.4302 1.8055
Ni 3.5401 6.6809 5.8737
Ni 5.1462 2.9807 3.9923
Ni 6.3416 -1.4996 4.4367
```

Output
Space-group type: C2/m, No. 12

***

B.
VASP calculation (PBE-GGA) on an optimized crystal structure of PmNi2Sn3.

Geometry as extended XYZ:
```
12
Lattice="-2.7386 -0.7418 -4.5834 6.2213 -1.3223 -3.5032 -3.2739 -5.7989 2.8947" Properties=species:S:1:pos:R:3 pbc="T T T"
Ni 3.2448 -2.4510 -4.7120
Ni -1.6667 -5.0412 1.8118
Ni 4.6141 -2.0800 -2.4202
Ni -3.0360 -5.4121 -0.4799
Sn -1.7841 -1.2083 -3.4933
Sn -2.9011 -3.7303 -2.4177
Sn 0.7149 -2.0256 -4.8542
Sn -0.5061 -5.8375 -0.3378
Sn 3.1098 -4.1327 -2.7742
Sn 1.9929 -6.6547 -1.6986
Pm 0.3081 -2.5841 -1.3508
Pm -0.0993 -5.2790 -3.8411
```

Output
Space-group type: Cmcm, No. 63

***

The structure with the greatest stability is A.

***

A.
VASP calculation (PBE-GGA) on an optimized crystal structure of Pm3NiSn2.

Geometry as extended XYZ:
```
24
Lattice="4.4560 0.0000 0.0000 0.0000 11.9923 0.0000 0.0000 0.0000 12.3674" Properties=species:S:1:pos:R:3 pbc="T T T"
Sn 1.1140 0.0461 3.7924
Sn 1.1140 9.7268 12.2104
Sn 1.1140 8.2616 6.0267
Sn 3.3420 6.0423 2.3913
Sn 1.1140 5.9501 9.9761
Sn 3.3420 3.7307 6.3407
Sn 3.3420 11.9462 8.5750
Sn 3.3420 2.2655 0.1570
Pm 1.1140 4.4624 0.6858
Pm 3.3420 11.3553 1.4832
Pm 1.1140 9.5628 9.0053
Pm 1.1140 0.6371 10.8841
Pm 3.3420 2.4295 3.3620
Pm 1.1140 5.3591 4.7005
Pm 3.3420 7.5299 11.6816
Pm 3.3420 6.6332 7.6669
Pm 1.1140 1.5337 6.8694
Pm 1.1140 8.4257 2.8217
Pm 3.3420 3.5666 9.5457
Pm 3.3420 10.4586 5.4979
Ni 1.1140 4.3883 7.7578
Ni 3.3420 7.6040 4.6096
Ni 1.1140 1.6079 1.5741
Ni 3.3420 10.3844 10.7933
```

Output
Space-group type: Pnma, No. 62

***

B.
VASP calculation (PBE-GGA) on an optimized crystal structure of Pm3NiSn2.

Geometry as extended XYZ:
```
12
Lattice="-2.3355 -3.1576 -7.2736 6.2361 -0.0536 -1.9791 -1.2596 -4.2862 6.9623" Properties=species:S:1:pos:R:3 pbc="T T T"
Ni 1.5590 -0.0134 -0.4948
Ni 4.6771 -0.0402 -1.4843
Pm 3.5093 -1.6190 -5.1211
Pm 2.9778 -2.4720 -1.3653
Pm 0.3913 -1.5922 -4.1316
Pm 0.5968 -1.4488 1.9196
Pm 2.0442 -6.0486 -4.2100
Pm -0.3368 -5.0254 -0.9251
Sn 1.4069 -3.7420 -6.2806
Sn -0.3407 -1.8624 -1.0231
Sn 1.2340 -3.7555 3.9901
Sn 2.9817 -5.6350 -1.2673
```

Output
Space-group type: Ibam, No. 72

***

The structure with the greatest stability is A.